1.
# NaAgCl3

A relaxed structure of NaAgCl3 (PBE, the Alexandria database).

- formation energy from raw total energies (eV/atom) = -0.898
- DOS(E_F) (states/eV/f.u.) = 2.8
- SG = No. 2
- ΔE to the lowest computed polymorph (eV/f.u.) = 0.12
- crystal system = triclinic

Structure (POSCAR):
```
NaAgCl3
1.0
7.5716 -0.1731 0.5240
3.6500 5.5637 0.3589
4.2277 1.8848 6.4550
Ag Cl Na
2 6 2
direct
0.1579 0.1450 0.5277
0.8421 0.8550 0.4723
0.0564 0.7640 0.7771
0.5264 0.9663 0.2612
0.7913 0.4296 0.7282
0.2087 0.5704 0.2718
0.9436 0.2360 0.2229
0.4736 0.0337 0.7388
0.3671 0.3560 0.9313
0.6328 0.6440 0.0687
```

2.
# K2AlPSe

A relaxed structure of K2AlPSe (PBE, the Alexandria database).

- formation energy from raw total energies (eV/atom) = 0.080
- DOS(E_F) (states/eV/f.u.) = 5.4
- SG = No. 123
- crystal system = tetragonal

Structure (POSCAR):
```
K2AlPSe
1.0
6.1049 0.0000 0.0000
0.0000 4.9148 0.0000
0.0000 0.0000 6.1049
K Se P Al
2 1 1 1
direct
0.0000 0.0000 0.5000
0.5000 0.0000 0.0000
0.0000 0.0000 0.0000
0.5000 0.5000 0.5000
0.0000 0.5000 0.0000
```

3.
# Tb3B8Ir3

A relaxed structure of Tb3B8Ir3 (PBE, the Alexandria database).

- DOS(E_F) (states/eV/f.u.) = 6.5
- SG = No. 71
- energy of formation from the pure elements (eV per atom) = -0.22
- crystal system = orthorhombic

Structure (POSCAR):
```
Tb3B8Ir3
1.0
3.4481 0.0000 0.0000
1.7241 7.0427 -0.5042
1.7241 1.4323 6.9139
Tb B Ir
3 8 3
direct
0.5000 0.5000 0.5000
0.2077 0.7923 0.7923
0.7923 0.2077 0.2077
0.1991 0.5064 0.0955
0.1991 0.0955 0.5064
0.6375 0.6543 0.0706
0.3625 0.9294 0.3457
0.6375 0.0706 0.6543
0.3625 0.3457 0.9294
0.8009 0.9045 0.4936
0.8009 0.4936 0.9045
0.0000 0.7597 0.2403
0.0000 0.2403 0.7597
0.5000 0.0000 0.0000
```

4.
# CaThBiSb

A relaxed structure of CaThBiSb (PBE, the Alexandria database).

- formation energy from raw total energies (eV/atom) = -0.864
- DOS(E_F) (states/eV/f.u.) = 0.4
- SG = No. 160
- crystal system = trigonal

Structure (POSCAR):
```
CaThBiSb
1.0
-0.3786 0.3537 4.5687
-1.1653 -3.6775 2.5019
6.6580 -2.8828 3.0887
Th Ca Sb Bi
1 1 1 1
direct
0.4464 0.4464 0.6609
0.9426 0.9426 0.1722
0.1921 0.1921 0.4238
0.6954 0.6954 0.9138
```

5.
# Ac3Nd4Sm4

A relaxed structure of Ac3Nd4Sm4 (PBE, the Alexandria database).

- DOS(E_F) (states/eV/f.u.) = 17.0
- SG = No. 2
- energy of formation from the pure elements (eV per atom) = 0.02
- crystal system = triclinic

Structure (POSCAR):
```
Ac3Nd4Sm4
1.0
3.6859 -0.0005 0.4157
-0.1027 5.8209 0.9155
-0.2806 -0.0164 19.0441
Sm Nd Ac
4 4 3
direct
0.4087 0.9069 0.1837
0.2652 0.2646 0.4703
0.5913 0.0932 0.8163
0.7349 0.7355 0.5297
0.4504 0.4529 0.0921
0.5496 0.5471 0.9079
0.6827 0.1827 0.6356
0.3173 0.8173 0.3644
0.8608 0.3610 0.2757
0.1392 0.6390 0.7243
0.0000 0.0000 0.0000
```

6.
# Np4Te2AsP

A relaxed structure of Np4Te2AsP (PBE, the Alexandria database).

- formation energy from raw total energies (eV/atom) = -0.690
- DOS(E_F) (states/eV/f.u.) = 35.5
- SG = No. 10
- crystal system = monoclinic

Structure (POSCAR):
```
Np4Te2AsP
1.0
-1.7587 1.2498 -3.6103
-0.6591 -6.9428 -2.0823
-6.0628 2.0275 3.6554
Np Te P As
4 2 1 1
direct
0.0000 0.2534 0.7801
0.5000 0.2319 0.2156
0.5000 0.7681 0.7844
0.0000 0.7466 0.2199
0.0000 0.5000 0.5000
0.5000 0.0000 0.5000
0.0000 0.0000 0.0000
0.5000 0.5000 0.0000
```

7.
# V4NiIr5

A relaxed structure of V4NiIr5 (PBE, the Alexandria database).

- DOS(E_F) (states/eV/f.u.) = 15.0
- SG = No. 123
- energy of formation from the pure elements (eV per atom) = -0.39
- crystal system = tetragonal

Structure (POSCAR):
```
V4NiIr5
1.0
-1.3224 0.2751 -2.3746
-1.3385 -2.3337 0.4751
-13.3335 9.3805 8.5118
V Ir Ni
4 5 1
direct
0.0000 0.0000 0.8027
0.0000 0.0000 0.1973
0.0000 0.0000 0.3992
0.0000 0.0000 0.6008
0.5000 0.5000 0.0986
0.5000 0.5000 0.2984
0.5000 0.5000 0.7016
0.5000 0.5000 0.5000
0.5000 0.5000 0.9014
0.0000 0.0000 0.0000
```

8.
# In2TeCl2

A relaxed structure of In2TeCl2 (PBE, the Alexandria database).

- formation energy from raw total energies (eV/atom) = -0.410
- DOS(E_F) (states/eV/f.u.) = 2.4
- SG = No. 139
- crystal system = tetragonal

Structure (POSCAR):
```
In2TeCl2
1.0
4.4054 0.0000 0.0000
0.0000 4.4054 0.0000
2.2027 2.2027 7.0527
In Te Cl
2 1 2
direct
0.3797 0.3797 0.2406
0.6203 0.6203 0.7594
0.0000 0.0000 0.0000
0.2500 0.7500 0.5000
0.7500 0.2500 0.5000
```

The lowest DOS(E_F) belongs to which entry?
CaThBiSb

Which of these has the lowest DOS(E_F)?
CaThBiSb

Which value of DOS(E_F) does entry 1 give?
2.8 states/eV/f.u.

DOS(E_F) of number 4 (CaThBiSb)?
0.4 states/eV/f.u.